1.
The following is a DFT calculation (PBE) of a relaxed Ca2DyHf crystal.

## Properties
Energy of formation in eV per atom: 0.523

abc: 3.3723 3.3723 12.8992
angles: 82.49 82.49 60.00
Closest atoms and distances in Å follow each position.
Fractional coordinates of all 4 atoms:
Ca1 0.0848 0.0848 0.7456  1 Hf 3.24, 6 Ca 3.37
Ca2 0.9152 0.9152 0.2544  1 Hf 3.24, 6 Ca 3.37
Hf1 0.0000 0.0000 0.0000  2 Ca 3.24, 6 Hf 3.37
Dy1 0.5000 0.5000 0.5000  6 Dy 3.37, 6 Ca 3.69

***

2.
The following is a DFT calculation (PBE) of a relaxed Sr2InAs crystal.

## Properties
Energy of formation in eV per atom: -0.388
Energy above the lowest structure with this stoichiometry in kJ/mol of atoms: 32.1

abc: 4.6766 4.6766 6.5602
angles: 90.00 90.00 90.00
Closest atoms and distances in Å follow each position.
Fractional coordinates of all 4 atoms:
Sr1 0.0000 0.0000 0.8787  2 As 3.28, 4 In 3.31
Sr2 0.5000 0.5000 0.3721  2 In 3.27-3.29, 4 As 3.31
As1 0.0000 0.0000 0.3784  6 Sr 3.28-3.31
In1 0.5000 0.5000 0.8708  6 Sr 3.27-3.31

***

3.
The following is a DFT calculation (PBE) of a relaxed LuHfGaAu crystal.

## Properties
Energy of formation in eV per atom: -0.476

abc: 4.8784 4.8784 4.8784
angles: 60.00 60.00 60.00
Closest atoms and distances in Å follow each position.
Fractional coordinates of all 4 atoms:
Hf1 0.2500 0.2500 0.2500  4 Au 2.99, 4 Ga 2.99
Lu1 0.7500 0.7500 0.7500  4 Ga 2.99, 4 Au 2.99
Au1 0.0000 0.0000 0.0000  4 Lu 2.99, 4 Hf 2.99
Ga1 0.5000 0.5000 0.5000  4 Lu 2.99, 4 Hf 2.99

***

4.
The following is a DFT calculation (PBE) of a relaxed SiTeN2F crystal.

## Properties
ΔE_f (raw) in eV/atom: 1.9737
Energy above the lowest structure with this stoichiometry in kJ/mol of atoms: 191.0

abc: 4.5379 4.5379 4.2329
angles: 90.00 90.00 90.00
Closest atoms and distances in Å follow each position.
Fractional coordinates of all 5 atoms:
N1 0.0000 0.5000 0.0000  2 F 2.27
N2 0.5000 0.0000 0.0000  2 F 2.27
Si1 0.5000 0.5000 0.5000  8 N 3.10, 4 Te 3.21
Te1 0.0000 0.0000 0.5000  2 F 2.12
F1 0.0000 0.0000 0.0000  2 Te 2.12, 4 N 2.27

***

5.
The following is a DFT calculation (PBE) of a relaxed TlTc2Pt crystal.

## Properties
Energy of formation in eV per atom: 0.897
Energy above the lowest structure with this stoichiometry in kJ/mol of atoms: 67.9

abc: 7.4801 7.4801 5.9238
angles: 50.85 50.85 90.00
Closest atoms and distances in Å follow each position.
Fractional coordinates of all 8 atoms:
Tl1 0.0000 0.0000 0.0000  2 Pt 2.67, 4 Tc 2.84
Tl2 0.7500 0.2500 0.5000  2 Pt 2.67, 4 Tc 2.84
Tc1 0.6027 0.1250 0.2500  2 Pt 2.62, 2 Tc 2.69, 2 Tl 2.84
Tc2 0.1473 0.6250 0.2500  2 Pt 2.62, 2 Tc 2.69, 2 Tl 2.84
Tc3 0.3750 0.3973 0.7500  2 Pt 2.62, 2 Tc 2.69, 2 Tl 2.84
Tc4 0.8750 0.8527 0.7500  2 Pt 2.62, 2 Tc 2.69, 2 Tl 2.84
Pt1 0.5000 0.5000 0.0000  4 Tc 2.62, 2 Tl 2.67
Pt2 0.2500 0.7500 0.5000  4 Tc 2.62, 2 Tl 2.67

***

6.
The following is a DFT calculation (PBE) of a relaxed VCo3Cl crystal.

## Properties
ΔE_f (raw) in eV/atom: 0.8899
Energy above the lowest structure with this stoichiometry in kJ/mol of atoms: 0.0

abc: 4.0774 4.0774 4.0774
angles: 90.00 90.00 90.00
Closest atoms and distances in Å follow each position.
Fractional coordinates of all 5 atoms:
V1 0.5000 0.5000 0.5000  12 Co 2.88
Co1 0.0000 0.5000 0.0000  2 Cl 2.04
Co2 0.0000 0.0000 0.5000  2 Cl 2.04
Co3 0.5000 0.0000 0.0000  2 Cl 2.04
Cl1 0.0000 0.0000 0.0000  6 Co 2.04

***

Raw total energy / eV per atom: -4.12 -3.08 -5.67 -3.44 -6.39 -5.57